(1)
Below is a geometry-optimized CsSmPuI6 structure, with properties calculated at the PBE-GGA level.

Lattice parameters (Å, degrees): 8.086 8.086 8.747 90.00 90.00 60.00
Last column: magnetic moment on the atom in μB.
Fractional coordinates of all 9 atoms:
1 I 0.008 0.627 0.711  -0.01
2 I 0.365 0.627 0.289  -0.01
3 Pu 0.667 0.667 0.500  5.68
4 I 0.627 0.008 0.289  -0.01
5 I 0.627 0.365 0.711  -0.01
6 I 0.365 0.008 0.711  -0.01
7 Sm 0.333 0.333 0.500  0.11
8 I 0.008 0.365 0.289  -0.01
9 Cs 0.000 0.000 0.000  0.00

* symmetry: No. 149
* raw formation energy: -11.9 eV/f.u.
* raw total energy: -4.572 eV/atom
* size of the total moment: 6.0 μB per formula unit
* Fermi-level density of states: 20.1 states/eV per cell

(2)
Below is a geometry-optimized DyPuHgOs structure, with properties calculated at the PBE-GGA level.

Lattice parameters (Å, degrees): 3.325 3.325 8.239 90.00 90.00 90.00
Last column: magnetic moment on the atom in μB.
Fractional coordinates of all 4 atoms:
1 Pu 0.500 0.500 0.362  5.07
2 Hg 0.000 0.000 0.068  0.01
3 Dy 0.500 0.500 0.784  0.11
4 Os 0.000 0.000 0.571  -0.37

* symmetry: No. 99
* raw total energy: -7.837 eV/atom
* size of the total moment: 5.1 μB per formula unit
* Fermi-level density of states: 7.3 states/eV per cell
* formation enthalpy at 0 K: -21.3 kJ/mol of atoms

(3)
Below is a geometry-optimized Li2TbHo structure, with properties calculated at the PBE-GGA level.

Lattice parameters (Å, degrees): 3.308 3.308 11.927 82.03 82.03 60.00
Fractional coordinates of all 4 atoms:
1 Li 0.912 0.912 0.264
2 Li 0.088 0.088 0.736
3 Tb 0.500 0.500 0.500
4 Ho 0.000 0.000 0.000

* symmetry: No. 166
* raw total energy: -2.969 eV/atom
* size of the total moment: 0.0 μB per formula unit
* Fermi-level density of states: 3.5 states/eV per cell
* formation enthalpy at 0 K: 28.0 kJ/mol of atoms

(4)
Below is a geometry-optimized LaAl2Re structure, with properties calculated at the PBE-GGA level.

Lattice parameters (Å, degrees): 3.384 3.384 7.168 90.00 90.00 90.00
Fractional coordinates of all 4 atoms:
1 Al 0.000 0.000 0.969
2 La 0.000 0.000 0.532
3 Al 0.500 0.500 0.181
4 Re 0.500 0.500 0.819

* symmetry: No. 99
* raw total energy: -6.221 eV/atom
* size of the total moment: 0.0 μB per formula unit
* Fermi-level density of states: 3.7 states/eV per cell
* formation enthalpy at 0 K: -0.6 kJ/mol of atoms